# 1
First-principles (PBE) data for a geometry-optimized BeTl3Ni structure, as listed in the Alexandria database.

a = 4.938 Å, b = 4.938 Å, c = 4.938 Å
α = 90.00°, β = 90.00°, γ = 90.00°
Space group Pm-3m (No. 221)
Unique sites:
Be: 0.000 0.000 0.000
Tl: 0.000 0.000 0.500
Ni: 0.500 0.500 0.500

Values from the calculation:
- total magnetic moment (μB per formula unit) = 0.171
- energy of formation (eV/f.u.) = 3.68

# 2
First-principles (PBE) data for a geometry-optimized BeTl2Ni structure, as listed in the Alexandria database.

a = 7.054 Å, b = 6.085 Å, c = 3.506 Å
α = 90.00°, β = 102.21°, γ = 90.00°
Space group C2/m (No. 12)
Unique sites:
Be: 0.000 0.000 0.000
Tl: 0.250 0.250 0.500
Ni: 0.000 0.500 0.000

Values from the calculation:
- total magnetic moment (μB per formula unit) = 0.000
- energy of formation (eV/f.u.) = 2.36

> What is the energy of formation in the first record?

3.68 eV/f.u.